Li2CaSn2: PBEsol geometry, meta-GGA SCAN.

Structure (CIF):
```
data_Li2CaSn2
_symmetry_space_group_name_H-M 'P 4/m b m'
_symmetry_Int_Tables_number 127
_symmetry_space_group_name_Hall '-P 4 2ab'
_cell_length_a 8.264
_cell_length_b 8.264
_cell_length_c 3.138
_cell_angle_alpha 90.00
_cell_angle_beta 90.00
_cell_angle_gamma 90.00
loop_
_atom_site_label
_atom_site_type_symbol
_atom_site_fract_x
_atom_site_fract_y
_atom_site_fract_z
Li1 Li 0.116 0.384 0.000
Ca1 Ca 0.000 0.000 0.000
Sn1 Sn 0.178 0.678 0.500
```

Summary:
Excess energy over the best structure of this formula in the dataset   0.010 eV per atom
Crystal system   tetragonal

---

Li2CaSn2: PBEsol geometry, meta-GGA SCAN.

Structure (CIF):
```
data_Li2CaSn2
_symmetry_space_group_name_H-M 'I 4/m m m'
_symmetry_Int_Tables_number 139
_symmetry_space_group_name_Hall '-I 4 2'
_cell_length_a 4.309
_cell_length_b 4.309
_cell_length_c 12.677
_cell_angle_alpha 90.00
_cell_angle_beta 90.00
_cell_angle_gamma 90.00
loop_
_atom_site_label
_atom_site_type_symbol
_atom_site_fract_x
_atom_site_fract_y
_atom_site_fract_z
Li1 Li 0.000 0.500 0.250
Ca1 Ca 0.000 0.000 0.000
Sn1 Sn 0.000 0.000 0.391
```

Summary:
Excess energy over the best structure of this formula in the dataset   0.000 eV per atom
Crystal system   tetragonal

---

Li8CaSn7: PBEsol geometry, meta-GGA SCAN.

Structure (CIF):
```
data_Li8CaSn7
_symmetry_space_group_name_H-M 'C m c m'
_symmetry_Int_Tables_number 63
_symmetry_space_group_name_Hall '-C 2c 2'
_cell_length_a 4.574
_cell_length_b 26.260
_cell_length_c 11.396
_cell_angle_alpha 90.00
_cell_angle_beta 90.00
_cell_angle_gamma 90.00
loop_
_atom_site_label
_atom_site_type_symbol
_atom_site_fract_x
_atom_site_fract_y
_atom_site_fract_z
Li1 Li 0.000 0.000 0.000
Li2 Li 0.000 0.026 0.250
Li3 Li 0.000 0.118 0.527
Li4 Li 0.000 0.242 0.094
Li5 Li 0.000 0.455 0.123
Ca1 Ca 0.000 0.143 0.250
Sn1 Sn 0.000 0.078 0.750
Sn2 Sn 0.000 0.258 0.750
Sn3 Sn 0.000 0.327 0.550
Sn4 Sn 0.000 0.345 0.250
Sn5 Sn 0.000 0.433 0.622
```

Summary:
Crystal system   orthorhombic

---

LiCaSn3: PBEsol geometry, meta-GGA SCAN.

Structure (CIF):
```
data_LiCaSn3
_symmetry_space_group_name_H-M 'P m -3 m'
_symmetry_Int_Tables_number 221
_symmetry_space_group_name_Hall '-P 4 2 3'
_cell_length_a 5.014
_cell_length_b 5.014
_cell_length_c 5.014
_cell_angle_alpha 90.00
_cell_angle_beta 90.00
_cell_angle_gamma 90.00
loop_
_atom_site_label
_atom_site_type_symbol
_atom_site_fract_x
_atom_site_fract_y
_atom_site_fract_z
Li1 Li 0.000 0.000 0.000
Ca1 Ca 0.500 0.500 0.500
Sn1 Sn 0.000 0.000 0.500
```

Summary:
Crystal system   cubic

---

SrLiCa2: PBEsol geometry, meta-GGA SCAN.

Structure (CIF):
```
data_SrLiCa2
_symmetry_space_group_name_H-M 'I 4/m m m'
_symmetry_Int_Tables_number 139
_symmetry_space_group_name_Hall '-I 4 2'
_cell_length_a 5.255
_cell_length_b 5.255
_cell_length_c 11.397
_cell_angle_alpha 90.00
_cell_angle_beta 90.00
_cell_angle_gamma 90.00
loop_
_atom_site_label
_atom_site_type_symbol
_atom_site_fract_x
_atom_site_fract_y
_atom_site_fract_z
Sr1 Sr 0.000 0.000 0.000
Li1 Li 0.000 0.000 0.500
Ca1 Ca 0.000 0.500 0.250
```

Summary:
Excess energy over the best structure of this formula in the dataset   0.076 eV per atom
Crystal system   tetragonal

---

SrLiCa2: PBEsol geometry, meta-GGA SCAN.

Structure (CIF):
```
data_SrLiCa2
_symmetry_space_group_name_H-M 'R 3 m'
_symmetry_Int_Tables_number 160
_symmetry_space_group_name_Hall 'R 3 -2"'
_cell_length_a 3.9087
_cell_length_b 3.9087
_cell_length_c 35.9659
_cell_angle_alpha 90.00
_cell_angle_beta 90.00
_cell_angle_gamma 120.00
loop_
_atom_site_label
_atom_site_type_symbol
_atom_site_fract_x
_atom_site_fract_y
_atom_site_fract_z
Sr1 Sr 0.0000 0.0000 0.0000
Li1 Li 0.0000 0.0000 0.2531
Ca1 Ca 0.0000 0.0000 0.5120
Ca2 Ca 0.0000 0.0000 0.7585
```

Summary:
Excess energy over the best structure of this formula in the dataset   0.071 eV per atom
Crystal system   trigonal

---

| no. | N(E_F) (states/eV/atom) | energy relative to the elements (eV per atom) |
| --- | --- | --- |
| 1 | 0.32 | -0.49 |
| 2 | 0.46 | -0.50 |
| 3 | 0.13 | -0.39 |
| 4 | 0.42 | -0.20 |
| 5 | 1.01 | 0.09 |
| 6 | 0.83 | 0.08 |